No. 1
Computed, not measured: a PBEsol-optimized structure of K5As3Pb3 at the SCAN level of DFT.

Cell lengths 6.532, 12.030, 19.354 Å; angles 90.00, 90.00, 90.00 degrees
Sites, in units of the cell vectors:
Pb (0.480, 0.383, 0.043)
Pb (0.558, 0.750, 0.806)
Pb (0.980, 0.617, 0.457)
Pb (0.020, 0.383, 0.543)
Pb (0.058, 0.250, 0.694)
Pb (0.520, 0.883, 0.957)
Pb (0.442, 0.250, 0.194)
Pb (0.942, 0.750, 0.306)
Pb (0.980, 0.883, 0.457)
Pb (0.480, 0.117, 0.043)
Pb (0.520, 0.617, 0.957)
Pb (0.020, 0.117, 0.543)
K (0.771, 0.546, 0.679)
K (0.262, 0.750, 0.121)
K (0.953, 0.250, 0.102)
K (0.738, 0.250, 0.879)
K (0.238, 0.750, 0.621)
K (0.271, 0.454, 0.821)
K (0.229, 0.454, 0.321)
K (0.500, 0.500, 0.500)
K (0.771, 0.954, 0.679)
K (0.000, 0.000, 0.000)
K (0.000, 0.500, 0.000)
K (0.271, 0.046, 0.821)
K (0.547, 0.250, 0.602)
K (0.500, 0.000, 0.500)
K (0.729, 0.546, 0.179)
K (0.762, 0.250, 0.379)
K (0.047, 0.750, 0.898)
K (0.453, 0.750, 0.398)
K (0.729, 0.954, 0.179)
K (0.229, 0.046, 0.321)
As (0.735, 0.948, 0.347)
As (0.261, 0.250, 0.455)
As (0.765, 0.552, 0.847)
As (0.265, 0.052, 0.653)
As (0.239, 0.250, 0.955)
As (0.235, 0.448, 0.153)
As (0.235, 0.052, 0.153)
As (0.735, 0.552, 0.347)
As (0.265, 0.448, 0.653)
As (0.739, 0.750, 0.545)
As (0.765, 0.948, 0.847)
As (0.761, 0.750, 0.045)

Output
* formation enthalpy at 0 K: -46.2 kJ/mol of atoms
* total DFT energy (no corrections): -1339.32 eV for the cell shown

---

No. 2
Computed, not measured: a PBEsol-optimized structure of La2TaCo2 at the SCAN level of DFT.

Cell lengths 5.252, 5.252, 5.252 Å; angles 95.35, 116.96, 116.96 degrees
Sites, in units of the cell vectors:
Co (0.000, 0.668, 0.668)
Co (0.000, 0.332, 0.332)
La (0.500, 0.250, 0.750)
La (0.500, 0.750, 0.250)
Ta (0.000, 0.000, 0.000)

Output
* formation enthalpy at 0 K: 53.5 kJ/mol of atoms
* total DFT energy (no corrections): -184.63 eV for the cell shown
* DOS(E_F): 1.331 states/eV/atom

---

No. 3
Computed, not measured: a PBEsol-optimized structure of Ti3CoS6 at the SCAN level of DFT.

Cell lengths 5.723, 5.723, 6.405 Å; angles 63.47, 63.47, 60.00 degrees
Last column: magnetic moment on the atom in μB.
Sites, in units of the cell vectors:
S (0.246, 0.580, 0.268)  0.00
S (0.754, 0.420, 0.732)  0.00
S (0.420, 0.094, 0.732)  0.00
S (0.094, 0.754, 0.732)  0.00
S (0.906, 0.246, 0.268)  0.00
S (0.580, 0.906, 0.268)  0.00
Ti (0.670, 0.670, 0.990)  0.01
Ti (0.000, 0.000, 0.000)  0.07
Ti (0.330, 0.330, 0.010)  0.01
Co (0.500, 0.500, 0.500)  1.25

Output
* total DFT energy (no corrections): -136.77 eV for the cell shown
* raw formation energy: -1.36 eV per atom
* DOS(E_F): 0.312 states/eV/atom

---

No. 4
Computed, not measured: a PBEsol-optimized structure of CrRh3 at the SCAN level of DFT.

Cell lengths 3.732, 3.732, 3.732 Å; angles 90.00, 90.00, 90.00 degrees
Last column: magnetic moment on the atom in μB.
Sites, in units of the cell vectors:
Rh (0.500, 0.500, 0.000)  -0.34
Rh (0.500, 0.000, 0.500)  -0.34
Rh (0.000, 0.500, 0.500)  -0.34
Cr (0.000, 0.000, 0.000)  2.48

Output
* formation enthalpy at 0 K: -19.5 kJ/mol of atoms
* total DFT energy (no corrections): -120.51 eV for the cell shown
* DOS(E_F): 0.854 states/eV/atom

---

No. 5
Computed, not measured: a PBEsol-optimized structure of Be2NiRu at the SCAN level of DFT.

Cell lengths 3.784, 3.784, 3.784 Å; angles 60.00, 60.00, 60.00 degrees
Sites, in units of the cell vectors:
Ni (0.000, 0.000, 0.000)
Be (0.250, 0.250, 0.250)
Be (0.750, 0.750, 0.750)
Ru (0.500, 0.500, 0.500)

Output
* formation enthalpy at 0 K: -44.2 kJ/mol of atoms
* total DFT energy (no corrections): -61.54 eV for the cell shown
* DOS(E_F): 0.572 states/eV/atom

---

No. 6
Computed, not measured: a PBEsol-optimized structure of Cu2RhAu at the SCAN level of DFT.

Cell lengths 2.733, 4.472, 4.472 Å; angles 102.79, 90.00, 90.00 degrees
Sites, in units of the cell vectors:
Au (0.500, 0.500, 0.500)
Rh (0.500, 0.000, 0.000)
Cu (0.000, 0.500, 0.000)
Cu (0.000, 0.000, 0.500)

Output
* formation enthalpy at 0 K: 3.5 kJ/mol of atoms
* total DFT energy (no corrections): -133.18 eV for the cell shown
* DOS(E_F): 0.740 states/eV/atom

---

No. 7
Computed, not measured: a PBEsol-optimized structure of K2AsAu at the SCAN level of DFT.

Cell lengths 4.617, 5.313, 5.934 Å; angles 116.60, 90.00, 90.00 degrees
Sites, in units of the cell vectors:
K (0.500, 0.276, 0.551)
K (0.000, 0.978, 0.956)
As (0.000, 0.664, 0.327)
Au (0.500, 0.589, 0.179)

Output
* formation enthalpy at 0 K: -57.6 kJ/mol of atoms
* total DFT energy (no corrections): -108.39 eV for the cell shown
* DOS(E_F): 0.018 states/eV/atom

---

No. 8
Computed, not measured: a PBEsol-optimized structure of KBaBe4 at the SCAN level of DFT.

Cell lengths 5.620, 5.620, 5.620 Å; angles 60.00, 60.00, 60.00 degrees
Sites, in units of the cell vectors:
Be (0.403, 0.403, 0.791)
Be (0.403, 0.403, 0.403)
Be (0.791, 0.403, 0.403)
Be (0.403, 0.791, 0.403)
K (0.750, 0.750, 0.750)
Ba (0.000, 0.000, 0.000)

Output
* formation enthalpy at 0 K: 74.0 kJ/mol of atoms
* total DFT energy (no corrections): -60.69 eV for the cell shown
* DOS(E_F): 0.450 states/eV/atom

---

No. 9
Computed, not measured: a PBEsol-optimized structure of K2PtPb at the SCAN level of DFT.

Cell lengths 4.505, 5.157, 6.515 Å; angles 113.31, 90.00, 90.00 degrees
Sites, in units of the cell vectors:
K (0.500, 0.404, 0.809)
K (0.000, 0.106, 0.212)
Pb (0.000, 0.805, 0.611)
Pt (0.500, 0.693, 0.385)

Output
* formation enthalpy at 0 K: -21.3 kJ/mol of atoms
* total DFT energy (no corrections): -163.52 eV for the cell shown
* DOS(E_F): 0.410 states/eV/atom

---

No. 10
Computed, not measured: a PBEsol-optimized structure of Cd5Cu3 at the SCAN level of DFT.

Cell lengths 3.191, 3.191, 13.046 Å; angles 90.00, 90.00, 90.00 degrees
Sites, in units of the cell vectors:
Cd (0.000, 0.000, 0.768)
Cd (0.000, 0.000, 0.000)
Cd (0.500, 0.500, 0.616)
Cd (0.000, 0.000, 0.232)
Cd (0.500, 0.500, 0.384)
Cu (0.500, 0.500, 0.886)
Cu (0.500, 0.500, 0.114)
Cu (0.000, 0.000, 0.500)

Output
* formation enthalpy at 0 K: 5.7 kJ/mol of atoms
* total DFT energy (no corrections): -197.20 eV for the cell shown
* polymorph energy (0 for the lowest one): 0.000 eV per atom
* DOS(E_F): 0.243 states/eV/atom

---

No. 11
Computed, not measured: a PBEsol-optimized structure of Sc2ReRh at the SCAN level of DFT.

Cell lengths 2.853, 4.209, 5.495 Å; angles 90.00, 97.51, 90.00 degrees
Sites, in units of the cell vectors:
Rh (0.000, 0.500, 0.500)
Re (0.500, 0.500, 0.000)
Sc (0.753, 0.000, 0.750)
Sc (0.247, 0.000, 0.250)

Output
* formation enthalpy at 0 K: -27.4 kJ/mol of atoms
* total DFT energy (no corrections): -134.48 eV for the cell shown
* DOS(E_F): 0.751 states/eV/atom

---

No. 12
Computed, not measured: a PBEsol-optimized structure of Mo2PdF at the SCAN level of DFT.

Cell lengths 4.264, 4.264, 4.264 Å; angles 60.00, 60.00, 60.00 degrees
Sites, in units of the cell vectors:
Mo (0.250, 0.250, 0.250)
Mo (0.750, 0.750, 0.750)
Pd (0.500, 0.500, 0.500)
F (0.000, 0.000, 0.000)

Output
* total DFT energy (no corrections): -105.37 eV for the cell shown
* raw formation energy: 0.18 eV per atom
* DOS(E_F): 0.743 states/eV/atom